# MnSbTe2O (GGA+U, optimized geometry)
# Total moment = 0.79 μB per atom
# Calculated volume = 28.360 A^3/atom
# Excess energy over the best structure of this formula in the dataset = 0.733 eV/atom
data_MnSbTe2O
_chemical_formula_sum 'Mn1 Sb1 Te2 O1'
_space_group_name_H-M_alt 'P 1'
_space_group_IT_number 1
_cell_length_a 5.187
_cell_length_b 5.187
_cell_length_c 5.270
_cell_angle_alpha 90.00
_cell_angle_beta 90.00
_cell_angle_gamma 90.00
loop_
_space_group_symop_operation_xyz
'x,y,z'
loop_
_atom_site_label
_atom_site_type_symbol
_atom_site_fract_x
_atom_site_fract_y
_atom_site_fract_z
_atom_site_occupancy
Sb1 Sb 0.000 0.000 0.500 1
Te1 Te 0.000 0.500 0.000 1
Te2 Te 0.500 0.000 0.000 1
O1 O 0.500 0.500 0.500 1
Mn1 Mn 0.000 0.000 0.000 1